VASP calculation (PBE-GGA) on a relaxed K2ZnO2 crystal.

Geometry as POSCAR:
```
K2ZnO2
1.0
-1.575 2.328 -1.928
-4.201 -4.132 -1.556
-4.123 1.230 7.866
K O Zn
4 4 2
Direct
0.026 0.312 0.053
0.193 0.486 0.385
0.807 0.986 0.615
0.974 0.812 0.947
0.580 0.631 0.160
0.420 0.131 0.840
0.166 0.036 0.331
0.834 0.536 0.669
0.368 0.401 0.737
0.632 0.901 0.263
```


KZn2O | Alexandria via LeMat-Bulk | PBE-GGA | relaxed; offset from the most stable computed form = 0 meV per atom
1.0
7.611 0.000 0.000
0.000 7.611 0.000
3.805 3.805 2.621
K Zn O
2 4 2
Direct
0.750 0.250 0.500
0.000 0.000 0.000
0.375 0.475 0.750
0.875 0.775 0.750
0.225 0.625 0.250
0.525 0.125 0.250
0.500 0.500 0.000
0.250 0.750 0.500


VASP calculation (PBE-GGA) on a relaxed KZn3O3 crystal.

Geometry as POSCAR:
```
KZn3O3
1.0
-1.270 -5.696 -0.942
0.024 -0.970 5.832
-5.774 1.248 0.231
Zn O K
6 6 2
Direct
0.250 0.000 0.500
0.500 0.250 0.000
0.750 0.000 0.500
0.500 0.750 0.000
0.000 0.500 0.250
0.000 0.500 0.750
0.500 0.000 0.750
0.750 0.500 0.000
0.000 0.750 0.500
0.000 0.250 0.500
0.500 0.000 0.250
0.250 0.500 0.000
0.000 0.000 0.000
0.500 0.500 0.500
```


KZnO | Alexandria via LeMat-Bulk | PBE-GGA | relaxed; offset from the most stable computed form = 0 meV per atom
1.0
-3.332 0.154 6.470
0.968 -5.571 -4.584
7.147 1.397 2.765
O K Zn
4 4 4
Direct
0.745 0.065 0.456
0.642 0.462 0.956
0.183 0.214 0.044
0.080 0.610 0.544
0.866 0.737 0.751
0.959 0.938 0.249
0.264 0.635 0.251
0.561 0.040 0.749
0.495 0.292 0.134
0.330 0.383 0.866
0.732 0.286 0.366
0.093 0.389 0.634


VASP calculation (PBE-GGA) on a relaxed KZnO3 crystal.

Geometry as POSCAR:
```
KZnO3
1.0
3.989 0.000 0.000
0.000 3.989 0.000
0.000 0.000 3.989
O Zn K
3 1 1
Direct
0.500 0.000 0.000
0.000 0.000 0.500
0.000 0.500 0.000
0.000 0.000 0.000
0.500 0.500 0.500
```


VASP calculation (PBE-GGA) on a relaxed K5ZnO3 crystal.

Geometry as POSCAR:
```
K5ZnO3
1.0
-1.312 3.547 0.099
-3.045 -1.280 5.514
16.591 5.943 6.861
K O Zn
10 6 2
Direct
0.500 0.836 0.068
0.000 0.663 0.895
0.000 0.260 0.441
0.500 0.282 0.618
0.500 0.125 0.269
0.500 0.718 0.382
0.000 0.337 0.105
0.500 0.875 0.731
0.000 0.740 0.559
0.500 0.164 0.932
0.000 0.000 0.000
0.000 0.918 0.321
0.500 0.500 0.500
0.500 0.584 0.203
0.000 0.082 0.679
0.500 0.416 0.797
0.000 0.308 0.760
0.000 0.692 0.240
```


K2Zn2O3 | Alexandria via LeMat-Bulk | PBE-GGA | relaxed; offset from the most stable computed form = 0 meV per atom
1.0
-2.040 -5.852 -0.979
5.253 -2.140 1.845
0.365 -1.182 6.306
K O Zn
4 6 4
Direct
0.367 0.816 0.927
0.133 0.816 0.427
0.867 0.184 0.573
0.633 0.184 0.073
0.500 0.000 0.500
0.639 0.591 0.293
0.139 0.409 0.207
0.000 0.000 0.000
0.861 0.591 0.793
0.361 0.409 0.707
0.612 0.668 0.573
0.888 0.668 0.073
0.112 0.332 0.927
0.388 0.332 0.427


VASP calculation (PBE-GGA) on a relaxed K2ZnO2 crystal.

Geometry as POSCAR:
```
K2ZnO2
1.0
6.065 0.000 0.000
0.000 5.606 0.000
0.000 0.000 10.412
K O Zn
8 8 4
Direct
0.369 0.942 0.847
0.631 0.058 0.153
0.131 0.442 0.653
0.869 0.942 0.653
0.869 0.558 0.347
0.631 0.442 0.847
0.369 0.558 0.153
0.131 0.058 0.347
0.316 0.008 0.595
0.184 0.992 0.095
0.684 0.508 0.595
0.816 0.008 0.905
0.684 0.992 0.405
0.816 0.492 0.095
0.184 0.508 0.905
0.316 0.492 0.405
0.519 0.250 0.500
0.481 0.750 0.500
0.981 0.750 0.000
0.019 0.250 0.000
```


Number 1: ΔE_f (raw) -1.25 eV/atom. Number 2: ΔE_f (raw) -0.30 eV/atom. Number 3: ΔE_f (raw) -1.14 eV/atom. Number 4: ΔE_f (raw) -1.07 eV/atom. Number 5: ΔE_f (raw) -0.51 eV/atom. Number 6: ΔE_f (raw) -0.97 eV/atom. Number 7: ΔE_f (raw) -1.36 eV/atom. Number 8: ΔE_f (raw) -1.31 eV/atom.